RbPOsI2: relaxed, GGA-PBE.

Cell lengths 6.2372, 4.4643, 6.2372 Å; angles 90.00, 90.00, 90.00 degrees
Positions (direct):
Rb 0.5000 0.5000 0.5000
I 0.0000 0.0000 0.5000
I 0.5000 0.0000 0.0000
Os 0.0000 0.5000 0.0000
P 0.0000 0.0000 0.0000

Results
formation energy without anion corrections = 288.5 meV/atom
E above lowest polymorph = 0.412 eV per atom


P2OsSI: relaxed, GGA-PBE.

Cell lengths 4.7079, 4.7079, 4.6349 Å; angles 90.00, 90.00, 90.00 degrees
Positions (direct):
Os 0.0000 0.0000 0.0000
I 0.5000 0.5000 0.5000
P 0.0000 0.5000 0.0000
P 0.5000 0.0000 0.0000
S 0.0000 0.0000 0.5000

Results
formation energy without anion corrections = 613.1 meV/atom
E above lowest polymorph = 0.000 eV per atom


P2OsSI: relaxed, GGA-PBE.

Cell lengths 5.0934, 5.0934, 4.8531 Å; angles 90.00, 90.00, 90.00 degrees
Positions (direct):
P 0.5000 0.0000 0.0000
P 0.0000 0.5000 0.0000
S 0.0000 0.0000 0.5000
Os 0.5000 0.5000 0.5000
I 0.0000 0.0000 0.0000

Results
formation energy without anion corrections = 2393.8 meV/atom
E above lowest polymorph = 1.781 eV per atom


SbPOsI2: relaxed, GGA-PBE.

Cell lengths 5.2573, 5.2573, 5.4396 Å; angles 90.00, 90.00, 90.00 degrees
Positions (direct):
Sb 0.0000 0.0000 0.5000
Os 0.5000 0.5000 0.5000
I 0.0000 0.5000 0.0000
I 0.5000 0.0000 0.0000
P 0.0000 0.0000 0.0000

Results
formation energy without anion corrections = 1609.7 meV/atom
E above lowest polymorph = 0.473 eV per atom